## Ca3Cd2Hg (GGA-PBE)

Data for crystalline Ca3Cd2Hg at its relaxed geometry.

Cell: 3.8341 3.8341 11.3734 Å, 90.00 90.00 90.00°
With the nearest neighbours (Å) after each atom.
Sites, in units of the cell vectors:
Ca  0.0000  0.0000  0.0000  8 Cd 3.31
Ca  0.0000  0.0000  0.3376  4 Hg 3.28, 4 Cd 3.33
Ca  0.0000  0.0000  0.6624  4 Hg 3.28, 4 Cd 3.33
Cd  0.5000  0.5000  0.1669  8 Ca 3.31-3.33
Cd  0.5000  0.5000  0.8331  8 Ca 3.31-3.33
Hg  0.5000  0.5000  0.5000  8 Ca 3.28

Results
The calculation puts the total moment at 0.000 μB per cell. The total DFT energy (no corrections) is -1.78 eV per atom. The formation energy is -420 meV per atom. The polymorph energy (0 for the lowest one) is 4 meV/atom.